Here is a geometry-optimized Ta2Nb7Mo2 structure from the Alexandria database. Energies are from PBE-GGA.

a b c (Å): 5.3903 5.3903 7.8488
angles (deg): 90.13 90.13 115.86
With the nearest neighbours (Å) after each atom.
Positions (direct):
Ta: 0.2428 0.7572 0.0000  2 Mo 2.74, 4 Nb 2.79-2.89, 2 Ta 2.87
Ta: 0.7572 0.2428 0.0000  2 Mo 2.74, 4 Nb 2.79-2.89, 2 Ta 2.87
Nb: 0.0000 0.0000 0.5000  2 Mo 2.79, 4 Nb 2.92
Nb: 0.1161 0.5764 0.3354  1 Mo 2.69, 1 Ta 2.79, 5 Nb 2.84-2.94
Nb: 0.3292 0.3292 0.8238  3 Mo 2.83-2.90, 2 Ta 2.89, 5 Nb 2.94-3.16
Nb: 0.4236 0.8839 0.6646  1 Mo 2.69, 1 Ta 2.79, 5 Nb 2.84-2.94
Nb: 0.5764 0.1161 0.3354  1 Mo 2.69, 1 Ta 2.79, 5 Nb 2.84-2.94
Nb: 0.6708 0.6708 0.1762  3 Mo 2.83-2.90, 2 Ta 2.89, 5 Nb 2.94-3.16
Nb: 0.8839 0.4236 0.6646  1 Mo 2.69, 1 Ta 2.79, 5 Nb 2.84-2.94
Mo: 0.1642 0.1642 0.1659  6 Nb 2.69-2.90, 2 Ta 2.74
Mo: 0.8358 0.8358 0.8341  6 Nb 2.69-2.90, 2 Ta 2.74

Mass density: 9.7 Mg/m³
E_form: 0.16 eV/atom
Symmetry: C2/m
Total moment: 0.0 μB per cell



Here is a geometry-optimized PaGaCo4H6 structure from the Alexandria database. Energies are from PBE-GGA.

a b c (Å): 4.2393 4.2393 6.4746
angles (deg): 90.00 90.00 120.00
With the nearest neighbours (Å) after each atom.
Positions (direct):
Pa: 0.0000 0.0000 0.0000  12 H 2.33
Ga: 0.0000 0.0000 0.5000  12 Co 2.72
Co: 0.3333 0.6667 0.3164  3 H 1.63
Co: 0.3333 0.6667 0.6836  3 H 1.63
Co: 0.6667 0.3333 0.3164  3 H 1.63
Co: 0.6667 0.3333 0.6836  3 H 1.63
H: 0.0000 0.5000 0.1492  2 Co 1.63
H: 0.0000 0.5000 0.8508  2 Co 1.63
H: 0.5000 0.0000 0.1492  2 Co 1.63
H: 0.5000 0.0000 0.8508  2 Co 1.63
H: 0.5000 0.5000 0.1492  2 Co 1.63
H: 0.5000 0.5000 0.8508  2 Co 1.63

Mass density: 8.9 Mg/m³
Total energy: -63.31 eV/cell
Symmetry: P6/mmm
Total moment: 2.6 μB per cell



Here is a geometry-optimized LiScRh structure from the Alexandria database. Energies are from PBE-GGA.

a b c (Å): 3.1667 3.1667 6.4414
angles (deg): 90.00 90.00 120.00
With the nearest neighbours (Å) after each atom.
Positions (direct):
Li: 0.0000 0.0000 0.0000  3 Rh 2.67
Sc: 0.3333 0.6667 0.5806  3 Rh 2.56
Rh: 0.6667 0.3333 0.3014  3 Sc 2.56, 3 Li 2.67

Mass density: 4.6 Mg/m³
E_form: -0.21 eV/atom
Symmetry: P3m1
Total moment: 0.0 μB per cell



Here is a geometry-optimized Li2TbRhO4 structure from the Alexandria database. Energies are from PBE-GGA.

a b c (Å): 5.2096 3.2826 5.3950
angles (deg): 90.00 107.58 90.00
With the nearest neighbours (Å) after each atom.
Positions (direct):
Li: 0.0000 0.0000 0.0000  2 O 2.12
Li: 0.5000 0.5000 0.0000  2 O 2.03
Tb: 0.0000 0.5000 0.5000  6 O 2.27
Rh: 0.5000 0.0000 0.5000  6 O 2.13-2.16
O: 0.2475 0.0000 0.7516  3 Li 2.12-2.27, 1 Rh 2.16, 2 Tb 2.27
O: 0.2993 0.5000 0.2685  1 Li 2.03, 2 Rh 2.13
O: 0.7007 0.5000 0.7315  1 Li 2.03, 2 Rh 2.13
O: 0.7525 0.0000 0.2484  3 Li 2.12-2.27, 1 Rh 2.16, 2 Tb 2.27

Mass density: 6.4 Mg/m³
Symmetry: P2/m
Formation energy (no corrections): -1999 meV/atom
Total moment: 0.0 μB per cell



Here is a geometry-optimized MnReSe2 structure from the Alexandria database. Energies are from PBE-GGA.

a b c (Å): 6.5836 6.5836 6.5836
angles (deg): 130.79 130.79 72.14
With the nearest neighbours (Å) after each atom.
Positions (direct):
Mn: 0.0000 0.0000 0.0000  4 Se 2.30
Mn: 0.7500 0.2500 0.5000  4 Se 2.30
Re: 0.2500 0.7500 0.5000  4 Se 2.41
Re: 0.5000 0.5000 0.0000  4 Se 2.41
Se: 0.1074 0.6250 0.9824  2 Mn 2.30, 2 Re 2.41
Se: 0.3750 0.3574 0.4824  2 Mn 2.30, 2 Re 2.41
Se: 0.6426 0.1250 0.0176  2 Mn 2.30, 2 Re 2.41
Se: 0.8750 0.8926 0.5176  2 Mn 2.30, 2 Re 2.41

Mass density: 8.3 Mg/m³
Symmetry: I-42d
Formation energy (no corrections): 483 meV/atom
Total moment: 0.0 μB per cell



Here is a geometry-optimized BaTcOs structure from the Alexandria database. Energies are from PBE-GGA.

a b c (Å): 2.9850 2.9850 8.0143
angles (deg): 90.00 90.00 120.00
With the nearest neighbours (Å) after each atom.
Positions (direct):
Ba: 0.0000 0.0000 0.0000  6 Ba 2.99
Tc: 0.3333 0.6667 0.6174  3 Os 2.60
Os: 0.6667 0.3333 0.3748  3 Tc 2.60

Mass density: 11.4 Mg/m³
E_form: 1.19 eV/atom
Symmetry: P3m1
Total moment: 0.0 μB per cell